No. 1
## BeCd2Si (PBE-GGA)

Data for a geometry-optimized BeCd2Si structure.

E_form (uncorrected) (eV per formula unit): 2.179
Density of states at the Fermi level (states/eV per cell): 2.5
VASP energy (eV per atom): -2.200
Offset from the most stable computed form (meV per atom): 261

a b c (Å): 4.1139 4.1139 8.3197
angles (deg): 90.00 90.00 90.00
Last column: nearest neighbours and their distance in Å.
Space group I-4m2 (No. 119)
Unique sites:
Be: 0.0000 0.0000 0.0000 [2 per cell]  8 Cd 2.91-2.93, 4 Si 2.93
Cd: 0.0000 0.0000 0.5000 [2 per cell]  4 Be 2.91, 4 Cd 2.93, 4 Si 2.93
Cd: 0.0000 0.5000 0.7500 [2 per cell]  4 Si 2.91, 4 Cd 2.93, 4 Be 2.93
Si: 0.0000 0.5000 0.2500 [2 per cell]  8 Cd 2.91-2.93, 4 Be 2.93

---

No. 2
## CuSiB (PBE-GGA)

Data for a geometry-optimized CuSiB structure.

E_form (uncorrected) (eV per formula unit): 0.556
Density of states at the Fermi level (states/eV per cell): 1.4
VASP energy (eV per atom): -5.214

a b c (Å): 3.4721 3.9610 5.9184
angles (deg): 90.00 90.06 90.00
Last column: nearest neighbours and their distance in Å.
Space group Pm (No. 6)
Unique sites:
Cu: 0.0000 0.0000 0.0000 [1 per cell]  2 B 2.03
Cu: 0.2557 0.0000 0.5107 [1 per cell]  2 B 2.03
Si: 0.3742 0.5000 0.8246 [1 per cell]  3 B 1.98-2.00
Si: 0.8818 0.5000 0.3247 [1 per cell]  3 B 1.98-2.00
B: 0.3847 0.5000 0.4883 [1 per cell]  3 Si 1.98-2.00, 2 Cu 2.03
B: 0.8712 0.5000 0.9890 [1 per cell]  3 Si 1.98-2.00, 2 Cu 2.03

---

No. 3
## Tb2Nd3Tl3 (PBE-GGA)

Data for a geometry-optimized Tb2Nd3Tl3 structure.

Energy relative to the elements (eV per atom): -0.27
Density of states at the Fermi level (states/eV per cell): 17.7
VASP energy (eV per atom): -4.105

a b c (Å): 4.4726 5.0831 21.2208
angles (deg): 90.00 90.00 90.00
Last column: nearest neighbours and their distance in Å.
Space group Immm (No. 71)
Unique sites:
Tb: 0.0000 0.0000 0.2368 [4 per cell]  2 Tl 3.19, 4 Tb 3.43, 2 Nd 3.55
Nd: 0.0000 0.0000 0.0000 [2 per cell]  8 Tl 3.39-3.55, 4 Nd 3.60
Nd: 0.0000 0.5000 0.1200 [4 per cell]  6 Tl 3.39, 4 Tb 3.55-3.77, 2 Nd 3.60
Tl: 0.0000 0.0000 0.5000 [2 per cell]  8 Nd 3.39, 4 Tl 3.75
Tl: 0.0000 0.5000 0.3704 [4 per cell]  2 Tb 3.19, 6 Nd 3.39-3.55

---

No. 4
## Er3CdRu (PBE-GGA)

Data for a geometry-optimized Er3CdRu structure.

Energy relative to the elements (eV per atom): -0.37
Density of states at the Fermi level (states/eV per cell): 6.8
VASP energy (eV per atom): -5.149

a b c (Å): 5.5134 6.1502 8.6522
angles (deg): 103.08 100.18 113.52
Last column: nearest neighbours and their distance in Å.
Space group P-1 (No. 2)
Unique sites:
Er: 0.0553 0.1905 0.2726 [2 per cell]  2 Ru 2.79-2.80
Er: 0.2832 0.4191 0.7282 [2 per cell]  2 Ru 2.78-2.80
Er: 0.3014 0.8018 0.1030 [2 per cell]  4 Ru 2.88-3.19
Cd: 0.3449 0.7616 0.4996 [2 per cell]  1 Cd 2.74
Ru: 0.2496 0.2491 0.9990 [2 per cell]  6 Er 2.78-2.88

---

Question: Which of these has the highest density of states at the Fermi level?
Answer: Tb2Nd3Tl3

---

Question: What is the VASP energy in the fourth record?
Answer: -5.149 eV per atom